VASP calculation (PBE) on an optimized crystal structure of LiNb2SnS4.

The structure belongs to space group P-3m1 (No. 164); the cell edges are 3.3737, 3.3737 and 16.3774 Å and the angles 90.00°, 90.00° and 120.00°. Symmetry generates all atoms from Li at (0.0000, 0.0000, 0.0000), Nb at (0.3333, 0.6667, 0.7668), Sn at (0.0000, 0.0000, 0.5000), S at (0.0000, 0.0000, 0.1377) and S at (0.0000, 0.0000, 0.3276).

VASP calculation (PBE) on an optimized crystal structure of Ta2CuC.

The structure belongs to space group C2/c (No. 15); the cell edges are 9.346, 5.392 and 13.702 Å and the angles 90.00°, 103.15° and 90.00°. Symmetry generates all atoms from Ta at (0.053, 0.084, 0.408), Ta at (0.114, 0.416, 0.592), Ta at (0.220, 0.416, 0.908), Cu at (0.000, 0.422, 0.250), Cu at (0.168, 0.084, 0.750), C at (0.083, 0.249, 0.000) and C at (0.250, 0.250, 0.500).

What are the calculated total energy values for these records? In order: -50.374 -37.657 eV/f.u..